Entry 1:
A geometry-optimized PaCuNiPd structure. Source: Alexandria, functional PBE.

Values from the calculation:
As for the crystal system: cubic. The energy relative to the elements comes out at -0.2254 eV/atom. The calculation puts the total energy at -25.47 eV/f.u.

Cell lengths 6.4868, 6.4868, 6.4868 Å; angles 90.00, 90.00, 90.00 degrees
Space group F-43m (No. 216)
Symmetry-distinct sites (fractional):
Pa 0.0000 0.0000 0.0000
Cu 0.0000 0.0000 0.5000
Ni 0.2500 0.2500 0.7500
Pd 0.2500 0.2500 0.2500

=====

Entry 2:
A geometry-optimized La2YS4 structure. Source: Alexandria, functional PBE.

Values from the calculation:
The excess energy over the best structure of this formula in the dataset is 0 meV/atom. As for the crystal system: orthorhombic. The calculation puts the total energy at -47.32 eV/f.u. The calculation puts the formation energy from raw total energies at -199.8 kJ per mole of atoms.

Cell lengths 3.9092, 13.7681, 13.5461 Å; angles 90.00, 90.00, 90.00 degrees
Space group Cmcm (No. 63)
Symmetry-distinct sites (fractional):
La 0.0000 0.1295 0.0737
Y 0.0000 0.3723 0.2500
S 0.0000 0.0148 0.2500
S 0.0000 0.2196 0.6265
S 0.0000 0.5000 0.0000

=====

Entry 3:
A geometry-optimized CsZnNi3 structure. Source: Alexandria, functional PBE.

Values from the calculation:
The excess energy over the best structure of this formula in the dataset is 1115 meV/atom. As for the crystal system: cubic. The energy relative to the elements comes out at 2.0088 eV/atom. The calculation puts the total energy at -9.43 eV/f.u.

Cell lengths 4.8323, 4.8323, 4.8323 Å; angles 90.00, 90.00, 90.00 degrees
Space group Pm-3m (No. 221)
Symmetry-distinct sites (fractional):
Cs 0.0000 0.0000 0.0000
Zn 0.5000 0.5000 0.5000
Ni 0.0000 0.0000 0.5000

=====

Entry 4:
A geometry-optimized Sm4Ge2O structure. Source: Alexandria, functional PBE.

Values from the calculation:
The excess energy over the best structure of this formula in the dataset is 0 meV/atom. As for the crystal system: monoclinic. The calculation puts the total energy at -42.09 eV/f.u. The calculation puts the formation energy from raw total energies at -124.4 kJ per mole of atoms.

Cell lengths 6.7097, 6.7601, 8.4103 Å; angles 90.00, 108.21, 90.00 degrees
Space group P2_1/m (No. 11)
Symmetry-distinct sites (fractional):
Sm 0.0002 0.0000 0.2398
Sm 0.4140 0.2500 0.5879
Sm 0.4380 0.2500 0.1280
Ge 0.2174 0.7500 0.5487
Ge 0.2498 0.7500 0.0653
O 0.2339 0.2500 0.3074

=====

Entry 5:
A geometry-optimized K2NaZnGa structure. Source: Alexandria, functional PBE.

Values from the calculation:
As for the crystal system: tetragonal. The energy relative to the elements comes out at 0.1150 eV/atom. The calculation puts the total energy at -7.24 eV/f.u.

Cell lengths 6.6320, 6.6320, 4.7085 Å; angles 90.00, 90.00, 90.00 degrees
Space group P4/mmm (No. 123)
Symmetry-distinct sites (fractional):
K 0.0000 0.5000 0.0000
Na 0.0000 0.0000 0.5000
Zn 0.5000 0.5000 0.0000
Ga 0.5000 0.5000 0.5000

=====

Entry 6:
A geometry-optimized BaScIr2S structure. Source: Alexandria, functional PBE.

Values from the calculation:
As for the crystal system: tetragonal. The calculation puts the total energy at -29.65 eV/f.u. The calculation puts the formation energy from raw total energies at 8.8 kJ per mole of atoms.

Cell lengths 4.9021, 4.9021, 5.1638 Å; angles 90.00, 90.00, 90.00 degrees
Space group P4/mmm (No. 123)
Symmetry-distinct sites (fractional):
Ba 0.0000 0.0000 0.0000
Sc 0.5000 0.5000 0.5000
Ir 0.0000 0.5000 0.5000
S 0.5000 0.5000 0.0000